Entry 1:
Density functional theory data (PBE) for a relaxed structure of BTe2Mo.

The space group is F-43m (No. 216) and the conventional cell measures 6.6731, 6.6731 and 6.6731 Å, with angles of 90.00, 90.00 and 90.00 degrees. The distinct sites, in fractional coordinates, are B at (0.0000, 0.0000, 0.0000), Te at (0.0000, 0.0000, 0.5000), Te at (0.2500, 0.2500, 0.7500) and Mo at (0.2500, 0.2500, 0.2500).

The calculated volume comes out at 297.2 Å³/cell. The calculation puts the total DFT energy (no corrections) at -0.33091 Ry/atom.


Entry 2:
Density functional theory data (PBE) for a relaxed structure of GdTlCdTe3.

The space group is Cmcm (No. 63) and the conventional cell measures 4.4782, 15.5072 and 11.7627 Å, with angles of 90.00, 90.00 and 90.00 degrees. The distinct sites, in fractional coordinates, are Gd at (0.0000, 0.0000, 0.0000), Tl at (0.0000, 0.2408, 0.2500), Cd at (0.0000, 0.4631, 0.7500), Te at (0.0000, 0.0801, 0.7500) and Te at (0.0000, 0.3627, 0.5503).

The calculated volume comes out at 816.9 Å³/cell. The energy above the lowest structure with this stoichiometry comes out at 0.000 eV/atom.